# 1
Compound: Ba3YIrRuO9
Source: Alexandria
Functional: SCAN
Structure: single point on PBEsol structure

Summary:
ΔE_f (raw): -36.734 eV per formula unit

Cell: 5.8566 5.8566 14.4699 Å, 90.00 90.00 120.00°
Closest atoms and distances in Å follow each position.
Space group P6_3mc (No. 186)
Asymmetric unit:
Ba1 0.0000 0.0000 0.0000  12 O 2.93-2.97
Ba2 0.3333 0.6667 0.1556  12 O 2.89-3.08
Ba3 0.3333 0.6667 0.8417  12 O 2.89-3.02
Y1 0.0000 0.0000 0.2495  6 O 2.17-2.21
Ir1 0.3333 0.6667 0.5852  6 O 1.96-2.03
Ru1 0.3333 0.6667 0.4133  6 O 1.92-2.02
O1 0.0187 0.5093 0.4987  1 Ru 2.02, 1 Ir 2.03
O2 0.1761 0.3522 0.6641  1 Ir 1.96, 1 Y 2.17
O3 0.1768 0.3536 0.3383  1 Ru 1.92



# 2
Compound: YCo3Ge
Source: Alexandria
Functional: SCAN
Structure: single point on PBEsol structure

Summary:
Polymorph energy (0 for the lowest one): 0 meV per atom
DFT formation energy: 7.36 kcal/mol of atoms

Cell: 4.2836 4.2836 4.2836 Å, 90.00 90.00 90.00°
Closest atoms and distances in Å follow each position.
Space group Pm-3m (No. 221)
Asymmetric unit:
Y1 0.0000 0.0000 0.0000  12 Co 3.03
Co1 0.0000 0.5000 0.5000  2 Ge 2.14
Ge1 0.5000 0.5000 0.5000  6 Co 2.14



# 3
Compound: PrSiRu
Source: Alexandria
Functional: SCAN
Structure: single point on PBEsol structure

Summary:
ΔE_f (raw): -2.536 eV per formula unit

Cell: 4.1809 4.1809 6.9394 Å, 90.00 90.00 90.00°
Closest atoms and distances in Å follow each position.
Space group P4/nmm (No. 129, origin choice 2)
Asymmetric unit:
Pr1 0.2500 0.2500 0.1769  4 Ru 3.07, 4 Si 3.14
Si1 0.2500 0.2500 0.6722  4 Ru 2.41
Ru1 0.2500 0.7500 0.5000  4 Si 2.41



# 4
Compound: Al3NiAg
Source: Alexandria
Functional: SCAN
Structure: single point on PBEsol structure

Summary:
DFT formation energy: 19.57 kcal/mol of atoms

Cell: 4.6702 4.6702 4.6702 Å, 90.00 90.00 90.00°
Closest atoms and distances in Å follow each position.
Space group Pm-3m (No. 221)
Asymmetric unit:
Al1 0.0000 0.0000 0.5000  2 Ag 2.34
Ni1 0.5000 0.5000 0.5000  12 Al 3.30
Ag1 0.0000 0.0000 0.0000  6 Al 2.34



# 5
Compound: Al2TcPt
Source: Alexandria
Functional: SCAN
Structure: single point on PBEsol structure

Summary:
DFT formation energy: -14.91 kcal/mol of atoms

Cell: 4.5290 2.7524 5.0213 Å, 90.00 113.81 90.00°
Closest atoms and distances in Å follow each position.
Space group P2/m (No. 10)
Asymmetric unit:
Al1 0.0000 0.0000 0.0000  2 Tc 2.62, 4 Pt 2.65, 6 Al 2.75-2.86
Al2 0.0000 0.5000 0.5000  2 Pt 2.62, 4 Tc 2.65, 6 Al 2.75-2.86
Tc1 0.5000 0.0000 0.5000  6 Al 2.62-2.65, 2 Tc 2.75, 4 Pt 2.86
Pt1 0.5000 0.5000 0.0000  6 Al 2.62-2.65, 2 Pt 2.75, 4 Tc 2.86



# 6
Compound: MnNb3Cl
Source: Alexandria
Functional: SCAN
Structure: single point on PBEsol structure

Summary:
Polymorph energy (0 for the lowest one): 350 meV per atom
ΔE_f (raw): 4.739 eV per formula unit

Cell: 4.6088 4.6088 4.6088 Å, 90.00 90.00 90.00°
Closest atoms and distances in Å follow each position.
Space group Pm-3m (No. 221)
Asymmetric unit:
Mn1 0.0000 0.0000 0.0000  6 Nb 2.30
Nb1 0.0000 0.0000 0.5000  2 Mn 2.30
Cl1 0.5000 0.5000 0.5000  12 Nb 3.26



# 7
Compound: Ti6PtAu
Source: Alexandria
Functional: SCAN
Structure: single point on PBEsol structure

Summary:
DFT formation energy: -16.01 kcal/mol of atoms

Cell: 5.0037 5.0037 5.0037 Å, 90.00 90.00 90.00°
Closest atoms and distances in Å follow each position.
Space group Pm-3 (No. 200)
Asymmetric unit:
Ti1 0.0000 0.2530 0.5000  2 Ti 2.47-2.53
Pt1 0.5000 0.5000 0.5000  12 Ti 2.79
Au1 0.0000 0.0000 0.0000  12 Ti 2.80



# 8
Compound: Sc2MnCd
Source: Alexandria
Functional: SCAN
Structure: single point on PBEsol structure

Summary:
DFT formation energy: -4.06 kcal/mol of atoms

Cell: 10.3903 3.1189 5.0053 Å, 90.00 107.72 90.00°
Closest atoms and distances in Å follow each position.
Space group Cm (No. 8)
Asymmetric unit:
Sc1 0.0000 0.0000 0.0000  3 Mn 2.85-2.98, 4 Cd 2.96-3.01, 2 Sc 3.12
Sc2 0.2114 0.0000 0.6510  4 Mn 2.83-3.10, 3 Cd 2.94-2.99, 2 Sc 3.12
Mn1 0.2406 0.5000 0.1375  2 Cd 2.80, 7 Sc 2.83-3.10, 2 Mn 3.12
Cd1 0.4541 0.0000 0.4650  2 Mn 2.80, 7 Sc 2.94-3.01, 2 Cd 3.12